# 1
RbCS3 | PBE-GGA | relaxed

Results
**Volume**: 26.4 Å³ per atom
**Uncorrected formation energy**: -89.8 meV/atom
**D(E_F)**: 1.0 states/eV per cell
**Magnetic moment**: 0.00 μB per formula unit

Cell and atoms, written as extended XYZ:
```
10
Lattice="3.4528 -7.6053 0.0000 3.4528 7.6053 0.0000 -0.4635 0.0000 5.0249" Properties=species:S:1:pos:R:3 pbc="T T T"
Rb 3.2210 4.5496 2.5125
Rb 3.4528 -4.5496 0.0000
C 3.5279 0.7648 0.5121
C 3.2962 -0.7648 3.0246
S 2.9082 2.4760 5.0178
S 2.5104 0.5729 2.0298
S 2.2786 -0.5729 4.5423
S 3.1399 -2.4760 2.5053
S 5.2849 0.2411 0.7900
S 5.0531 -0.2411 3.3025
```

---

# 2
LiNd2Ti | PBE-GGA | relaxed

Results
**Volume**: 27.0 Å³ per atom
**D(E_F)**: 4.9 states/eV per cell
**DFT formation energy**: 0.1898 eV/atom
**Magnetic moment**: 0.00 μB per formula unit

Cell and atoms, written as extended XYZ:
```
4
Lattice="3.4989 0.0000 0.0000 0.0000 3.4989 0.0000 0.0000 0.0000 8.8355" Properties=species:S:1:pos:R:3 pbc="T T T"
Li 0.0000 0.0000 0.0000
Nd 1.7494 1.7494 2.3550
Nd 1.7494 1.7494 6.4805
Ti 0.0000 0.0000 4.4177
```